No. 1
DFT (PBE) results for a relaxed structure of Mg2PPd8.

Output
The calculation puts the spin magnetization at 0.00 μB per atom. For the theoretical density, the calculation gives 8.98 g cm⁻³. The calculation puts the uncorrected energy at -0.371 Ry per atom. As for the formation energy: -5.41 eV per formula unit.

a = 14.6270 Å, b = 4.5007 Å, c = 5.6734 Å
α = 90.00°, β = 112.82°, γ = 90.00°
Closest atoms and distances in Å follow each position.
Space group C2/m (No. 12)
Asymmetric unit:
Mg1 0.1893 0.0000 0.1895 x4  12 Pd 2.75-2.93
P1 0.0000 0.5000 0.5000 x2  4 Pd 2.30
Pd1 0.0003 0.0000 0.2514 x4  2 P 2.66, 8 Pd 2.82-2.89, 2 Mg 2.92-2.93
Pd2 0.1309 0.5000 0.8899 x4  1 P 2.30
Pd3 0.1317 0.5000 0.3746 x4  1 P 2.30
Pd4 0.1868 0.0000 0.6878 x4  8 Pd 2.79-2.89, 4 Mg 2.80-2.84


No. 2
DFT (PBE) results for a relaxed structure of MgPPd5.

Output
The calculation puts the spin magnetization at 0.00 μB per atom. For the theoretical density, the calculation gives 8.27 g cm⁻³. The calculation puts the uncorrected energy at -0.370 Ry per atom. The value obtained for the distance to the lowest polymorph of the same formula is 0.259 eV per atom. As for the formation energy: -2.26 eV per formula unit.

a = 7.8265 Å, b = 7.3504 Å, c = 8.8357 Å
α = 90.00°, β = 111.87°, γ = 90.00°
Closest atoms and distances in Å follow each position.
Space group C2/c (No. 15)
Asymmetric unit:
Mg1 0.0000 0.0081 0.2500 x4  5 Pd 2.59-2.66
P1 0.2500 0.2500 0.5000 x4  6 Pd 2.29-2.48
Pd1 0.0000 0.3600 0.2500 x4  2 P 2.48, 1 Mg 2.59, 2 Pd 2.75
Pd2 0.1619 0.2990 0.7162 x8  1 P 2.29
Pd3 0.1823 0.4247 0.0152 x8  1 P 2.46, 1 Mg 2.65, 3 Pd 2.74-2.75


No. 3
DFT (PBE) results for a relaxed structure of MgPPd3.

Output
The calculation puts the spin magnetization at 0.00 μB per atom. For the theoretical density, the calculation gives 7.72 g cm⁻³. The calculation puts the uncorrected energy at -0.374 Ry per atom. The value obtained for the distance to the lowest polymorph of the same formula is 0.000 eV per atom. As for the formation energy: -2.86 eV per formula unit.

a = 7.6112 Å, b = 5.2652 Å, c = 9.2873 Å
α = 90.00°, β = 119.98°, γ = 90.00°
Closest atoms and distances in Å follow each position.
Space group P2_1/c (No. 14)
Asymmetric unit:
Mg1 0.1771 0.2364 0.0768 x4  7 Pd 2.70-2.99, 1 P 2.85
P1 0.2615 0.6872 0.9529 x4  6 Pd 2.32-2.49
Pd1 0.0274 0.5123 0.2709 x4  2 P 2.35-2.39
Pd2 0.3441 0.7293 0.2295 x4  2 P 2.33-2.49
Pd3 0.3871 0.2197 0.4117 x4  2 P 2.32-2.45


No. 4
DFT (PBE) results for a relaxed structure of MgP2Pd2.

Output
The calculation puts the spin magnetization at 0.00 μB per atom. For the theoretical density, the calculation gives 6.21 g cm⁻³. The calculation puts the uncorrected energy at -0.350 Ry per atom. As for the formation energy: -1.03 eV per formula unit.

a = 7.1192 Å, b = 7.1192 Å, c = 3.1557 Å
α = 90.00°, β = 90.00°, γ = 90.00°
Closest atoms and distances in Å follow each position.
Space group P4/mbm (No. 127)
Asymmetric unit:
Mg1 0.0000 0.0000 0.0000 x2  4 P 2.69
P1 0.1556 0.3444 0.0000 x4  6 Pd 2.54-2.67, 2 Mg 2.69
Pd1 0.1462 0.6462 0.5000 x4  6 P 2.54-2.67


No. 5
DFT (PBE) results for a relaxed structure of Mg2PPd2.

Output
The calculation puts the spin magnetization at 0.00 μB per atom. For the theoretical density, the calculation gives 5.73 g cm⁻³. The calculation puts the uncorrected energy at -0.318 Ry per atom. As for the formation energy: -2.63 eV per formula unit.

a = 6.3999 Å, b = 6.3999 Å, c = 4.1396 Å
α = 90.00°, β = 90.00°, γ = 90.00°
Closest atoms and distances in Å follow each position.
Space group P4/mbm (No. 127)
Asymmetric unit:
Mg1 0.1609 0.3391 0.0000 x4  6 Pd 2.65-2.90, 1 Mg 2.91
P1 0.0000 0.0000 0.5000 x2  4 Pd 2.42
Pd1 0.1566 0.6566 0.5000 x4  2 P 2.42, 2 Mg 2.65


No. 6
DFT (PBE) results for a relaxed structure of Mg2PPd.

Output
The calculation puts the spin magnetization at 0.00 μB per atom. For the theoretical density, the calculation gives 4.75 g cm⁻³. The calculation puts the uncorrected energy at -0.291 Ry per atom. As for the formation energy: -2.05 eV per formula unit.

a = 4.2115 Å, b = 4.2115 Å, c = 3.6674 Å
α = 90.00°, β = 90.00°, γ = 90.00°
Closest atoms and distances in Å follow each position.
Space group P4/mmm (No. 123)
Asymmetric unit:
Mg1 0.0000 0.5000 0.0000 x2  4 Pd 2.79, 4 P 2.79, 4 Mg 2.98
P1 0.0000 0.0000 0.5000 x1  8 Mg 2.79, 4 Pd 2.98
Pd1 0.5000 0.5000 0.5000 x1  8 Mg 2.79, 4 P 2.98